# 1
Density functional theory data (SCAN) for a PBEsol-optimized structure of HfTl2PbSe4.

The space group is C2/c (No. 15) and the conventional cell measures 15.735, 8.416 and 6.944 Å, with angles of 90.00, 109.10 and 90.00 degrees. The asymmetric unit holds Hf at (0.000, 0.122, 0.250), Tl at (0.248, 0.373, 0.229), Pb at (0.000, 0.377, 0.750), Se at (0.100, 0.103, 0.005) and Se at (0.110, 0.343, 0.467).

# 2
Density functional theory data (SCAN) for a PBEsol-optimized structure of MgBr2F.

Its density of states at the Fermi level is 0.06 states/eV/cell.

The space group is R-3m (No. 166, hexagonal axes) and the conventional cell measures 3.8758, 3.8758 and 22.6864 Å, with angles of 90.00, 90.00 and 120.00 degrees. The asymmetric unit holds Mg at (0.0000, 0.0000, 0.0000), Br at (0.0000, 0.0000, 0.3977) and F at (0.0000, 0.0000, 0.5000).

Number 1: formation energy from raw total energies -0.88 eV/atom. Number 2: formation energy from raw total energies -1.16 eV/atom.